P) Compound: Li2ScHPt
Source: Alexandria
Functional: PBE
Structure: relaxed

extended XYZ file:
```
5
Lattice="3.8104 0.0000 0.0000 0.0000 3.8104 0.0000 0.0000 0.0000 4.5442" Properties=species:S:1:pos:R:3 pbc="T T T"
Li 0.0000 1.9052 0.0000
Li 1.9052 0.0000 0.0000
Sc 0.0000 0.0000 2.2721
H 0.0000 0.0000 0.0000
Pt 1.9052 1.9052 2.2721
```

* D(E_F): 2.42 states/eV per cell
* total magnetization: 0.00 μB per formula unit
* space-group type: P4/mmm

***

Q) Compound: Li2ScHPt
Source: Alexandria
Functional: PBE
Structure: relaxed

extended XYZ file:
```
5
Lattice="4.7209 0.0000 0.0000 0.0000 4.7209 0.0000 0.0000 0.0000 3.4847" Properties=species:S:1:pos:R:3 pbc="T T T"
Li 0.0000 2.3604 0.0000
Li 2.3604 0.0000 0.0000
Sc 0.0000 0.0000 1.7423
H 2.3604 2.3604 1.7423
Pt 2.3604 2.3604 0.0000
```

* D(E_F): 3.33 states/eV per cell
* total magnetization: 0.17 μB per formula unit
* space-group type: P4/mmm

***

Computed energies relative to the best structure, in meV/atom: P) 0; Q) 672

***

P) Compound: Li2SnHPt
Source: Alexandria
Functional: PBE
Structure: relaxed

extended XYZ file:
```
5
Lattice="3.9110 0.0000 0.0000 0.0000 3.9110 0.0000 0.0000 0.0000 4.4480" Properties=species:S:1:pos:R:3 pbc="T T T"
Li 0.0000 1.9555 0.0000
Li 1.9555 0.0000 0.0000
Sn 0.0000 0.0000 2.2240
H 0.0000 0.0000 0.0000
Pt 1.9555 1.9555 2.2240
```

* D(E_F): 2.33 states/eV per cell
* total magnetization: 0.00 μB per formula unit
* space-group type: P4/mmm

***

Q) Compound: Li2SnHPt
Source: Alexandria
Functional: PBE
Structure: relaxed

extended XYZ file:
```
5
Lattice="4.1827 0.0000 0.0000 0.0000 4.1827 0.0000 0.0000 0.0000 3.7274" Properties=species:S:1:pos:R:3 pbc="T T T"
Li 0.0000 2.0913 0.0000
Li 2.0913 0.0000 0.0000
Sn 0.0000 0.0000 1.8637
H 2.0913 2.0913 0.0000
Pt 2.0913 2.0913 1.8637
```

* D(E_F): 1.24 states/eV per cell
* total magnetization: 0.00 μB per formula unit
* space-group type: P4/mmm

***

Computed energies relative to the best structure, in meV/atom: P) 100; Q) 0

***

P) Compound: Sr2LiHPt
Source: Alexandria
Functional: PBE
Structure: relaxed

extended XYZ file:
```
5
Lattice="5.1275 0.0000 0.0000 0.0000 5.1275 0.0000 0.0000 0.0000 4.0679" Properties=species:S:1:pos:R:3 pbc="T T T"
Sr 0.0000 2.5637 0.0000
Sr 2.5637 0.0000 0.0000
Li 0.0000 0.0000 2.0340
H 0.0000 0.0000 0.0000
Pt 2.5637 2.5637 2.0340
```

* D(E_F): 1.78 states/eV per cell
* total magnetization: 0.00 μB per formula unit
* space-group type: P4/mmm

***

Q) Compound: Sr2LiHPt
Source: Alexandria
Functional: PBE
Structure: relaxed

extended XYZ file:
```
5
Lattice="5.4360 0.0000 0.0000 0.0000 5.4360 0.0000 0.0000 0.0000 3.8492" Properties=species:S:1:pos:R:3 pbc="T T T"
Sr 0.0000 2.7180 0.0000
Sr 2.7180 0.0000 0.0000
Li 0.0000 0.0000 1.9246
H 2.7180 2.7180 0.0000
Pt 2.7180 2.7180 1.9246
```

* D(E_F): 4.48 states/eV per cell
* total magnetization: 0.00 μB per formula unit
* space-group type: P4/mmm

***

Computed energies relative to the best structure, in meV/atom: P) 0; Q) 90

***

P) Compound: LiZnHPt2
Source: Alexandria
Functional: PBE
Structure: relaxed

extended XYZ file:
```
5
Lattice="3.9753 0.0000 0.0000 0.0000 3.9753 0.0000 0.0000 0.0000 3.7288" Properties=species:S:1:pos:R:3 pbc="T T T"
Li 0.0000 0.0000 0.0000
Zn 1.9876 1.9876 0.0000
H 0.0000 0.0000 1.8644
Pt 0.0000 1.9876 1.8644
Pt 1.9876 0.0000 1.8644
```

* D(E_F): 0.51 states/eV per cell
* total magnetization: 0.00 μB per formula unit
* space-group type: P4/mmm

***

Q) Compound: LiZnHPt2
Source: Alexandria
Functional: PBE
Structure: relaxed

extended XYZ file:
```
5
Lattice="3.9767 0.0000 0.0000 0.0000 3.9767 0.0000 0.0000 0.0000 3.8223" Properties=species:S:1:pos:R:3 pbc="T T T"
Li 0.0000 0.0000 0.0000
Zn 1.9884 1.9884 0.0000
H 1.9884 1.9884 1.9112
Pt 0.0000 1.9884 1.9112
Pt 1.9884 0.0000 1.9112
```

* D(E_F): 1.03 states/eV per cell
* total magnetization: 0.00 μB per formula unit
* space-group type: P4/mmm

***

Computed energies relative to the best structure, in meV/atom: P) 0; Q) 170

***

P) Compound: LiPuH2
Source: Alexandria
Functional: PBE
Structure: relaxed

extended XYZ file:
```
4
Lattice="1.7503 1.0106 5.6592 -1.7503 1.0106 5.6592 0.0000 -2.0211 5.6592" Properties=species:S:1:pos:R:3 pbc="T T T"
Li 0.0000 0.0000 0.0000
Pu 0.0000 0.0000 8.4887
H 0.0000 0.0000 1.8305
H 0.0000 0.0000 15.1470
```

* D(E_F): 9.43 states/eV per cell
* total magnetization: 5.45 μB per formula unit
* space-group type: R-3m

***

Q) Compound: LiPuH2
Source: Alexandria
Functional: PBE
Structure: relaxed

extended XYZ file:
```
4
Lattice="2.9648 0.0000 0.0000 0.0000 2.9648 0.0000 0.0000 0.0000 6.0789" Properties=species:S:1:pos:R:3 pbc="T T T"
Li 0.0000 0.0000 0.0000
Pu 0.0000 0.0000 3.0394
H 1.4824 1.4824 1.8024
H 1.4824 1.4824 4.2765
```

* D(E_F): 4.72 states/eV per cell
* total magnetization: 6.30 μB per formula unit
* space-group type: P4/mmm

***

Computed energies relative to the best structure, in meV/atom: P) 0; Q) 160

***

P) Compound: RbLi2H3
Source: Alexandria
Functional: PBE
Structure: relaxed

extended XYZ file:
```
6
Lattice="-1.9727 1.9832 5.0464 1.9727 -1.9832 5.0464 1.9727 1.9832 -5.0464" Properties=species:S:1:pos:R:3 pbc="T T T"
Rb 0.0000 0.0000 0.0000
Li 0.0000 0.0000 3.1221
Li 0.0000 0.0000 6.9707
H 1.9727 0.0000 2.5147
H 0.0000 0.0000 5.0464
H 0.0000 1.9832 2.5317
```

* D(E_F): 0.00 states/eV per cell
* total magnetization: 0.00 μB per formula unit
* space-group type: Immm

***

Q) Compound: RbLi2H3
Source: Alexandria
Functional: PBE
Structure: relaxed

extended XYZ file:
```
12
Lattice="4.0348 -4.9731 0.0000 4.0348 4.9731 0.0000 0.0000 0.0000 4.8763" Properties=species:S:1:pos:R:3 pbc="T T T"
Rb 4.0348 3.1798 3.6572
Rb 4.0348 -3.1798 1.2191
Li 2.7666 0.0000 0.0000
Li 2.7666 0.0000 2.4381
Li 5.3029 0.0000 0.0000
Li 5.3029 0.0000 2.4381
H 1.8221 0.9511 3.6572
H 1.8221 -0.9511 1.2191
H 4.0348 0.7361 1.2191
H 4.0348 -0.7361 3.6572
H 6.2474 0.9511 3.6572
H 6.2474 -0.9511 1.2191
```

* D(E_F): 0.00 states/eV per cell
* total magnetization: 0.00 μB per formula unit
* space-group type: Cmcm

***

Computed energies relative to the best structure, in meV/atom: P) 0; Q) 15

***

P) Compound: RbLi2H
Source: Alexandria
Functional: PBE
Structure: relaxed

extended XYZ file:
```
4
Lattice="0.0000 3.8782 3.8782 3.8782 0.0000 3.8782 3.8782 3.8782 0.0000" Properties=species:S:1:pos:R:3 pbc="T T T"
Rb 0.0000 0.0000 0.0000
Li 1.9391 1.9391 1.9391
Li 5.8172 5.8172 5.8172
H 3.8782 3.8782 3.8782
```

* D(E_F): 2.23 states/eV per cell
* total magnetization: 0.00 μB per formula unit
* space-group type: Fm-3m

***

Q) Compound: RbLi2H
Source: Alexandria
Functional: PBE
Structure: relaxed

extended XYZ file:
```
8
Lattice="-3.3477 3.3477 4.7555 3.3477 -3.3477 4.7555 3.3477 3.3477 -4.7555" Properties=species:S:1:pos:R:3 pbc="T T T"
Rb 3.3477 1.6739 1.1889
Rb 0.0000 1.6739 3.5666
Li 0.0000 0.0000 0.0000
Li 1.6739 1.6739 -2.3777
Li 1.6739 -1.6739 2.3777
Li 0.0000 3.3477 0.0000
H 3.3477 -1.6739 3.5666
H 0.0000 5.0216 1.1889
```

* D(E_F): 5.66 states/eV per cell
* total magnetization: 0.67 μB per formula unit
* space-group type: I4_1/amd

***

Computed energies relative to the best structure, in meV/atom: P) 556; Q) 0

***

P) Compound: Li2ReH6
Source: Alexandria
Functional: PBE
Structure: relaxed

extended XYZ file:
```
18
Lattice="3.5864 0.0000 0.0000 0.0000 3.5864 0.0000 0.0000 0.0000 9.8081" Properties=species:S:1:pos:R:3 pbc="T T T"
Li 0.0000 0.0000 1.6951
Li 0.0000 0.0000 8.1130
Li 1.7932 1.7932 3.2089
Li 1.7932 1.7932 6.5992
Re 0.0000 0.0000 4.9040
Re 1.7932 1.7932 0.0000
H 0.5587 0.5587 0.0000
H 0.5950 0.5950 3.3774
H 0.5950 0.5950 6.4307
H 1.1982 2.3882 1.5266
H 1.1982 2.3882 8.2815
H 1.2345 2.3519 4.9040
H 2.3519 1.2345 4.9040
H 2.3882 1.1982 1.5266
H 2.3882 1.1982 8.2815
H 2.9914 2.9914 3.3774
H 2.9914 2.9914 6.4307
H 3.0277 3.0277 0.0000
```

* D(E_F): 6.33 states/eV per cell
* total magnetization: 0.00 μB per formula unit
* space-group type: P4_2/mnm

***

Q) Compound: Li2ReH6
Source: Alexandria
Functional: PBE
Structure: relaxed

extended XYZ file:
```
9
Lattice="0.0000 3.4787 3.4787 3.4787 0.0000 3.4787 3.4787 3.4787 0.0000" Properties=species:S:1:pos:R:3 pbc="T T T"
Li 1.7394 1.7394 1.7394
Li 5.2181 5.2181 5.2181
Re 0.0000 0.0000 0.0000
H 3.4787 3.4787 1.7642
H 3.4787 1.7642 3.4787
H 5.1933 3.4787 3.4787
H 1.7642 3.4787 3.4787
H 3.4787 5.1933 3.4787
H 3.4787 3.4787 5.1933
```

* D(E_F): 0.25 states/eV per cell
* total magnetization: 3.00 μB per formula unit
* space-group type: Fm-3m

***

R) Compound: Li2ReH6
Source: Alexandria
Functional: PBE
Structure: relaxed

extended XYZ file:
```
18
Lattice="5.1390 0.0000 0.0000 0.0000 5.1390 0.0000 0.0000 0.0000 6.5989" Properties=species:S:1:pos:R:3 pbc="T T T"
Li 0.0000 2.5695 1.6497
Li 0.0000 2.5695 4.9492
Li 2.5695 0.0000 1.6497
Li 2.5695 0.0000 4.9492
Re 0.0000 0.0000 0.0000
Re 2.5695 2.5695 3.2995
H 0.0000 0.0000 1.7688
H 0.0000 0.0000 4.8301
H 0.7032 1.6186 0.0000
H 0.9509 1.8663 3.2995
H 1.6186 4.4358 0.0000
H 1.8663 4.1881 3.2995
H 2.5695 2.5695 1.5306
H 2.5695 2.5695 5.0683
H 3.2727 0.9509 3.2995
H 3.5204 0.7032 0.0000
H 4.1881 3.2727 3.2995
H 4.4358 3.5204 0.0000
```

* total magnetization: 3.01 μB per formula unit
* space-group type: P4/mnc

***

Computed energies relative to the best structure, in meV/atom: P) 36; Q) 22; R) 0